No. 1
Density functional theory data (PBE) for a geometry-optimized MnFeCoRe structure.

Structure (POSCAR):
```
MnFeCoRe
1.0
0.0000 2.9269 2.9269
2.9269 0.0000 2.9269
2.9269 2.9269 0.0000
Mn Fe Co Re
1 1 1 1
direct
0.0000 0.0000 0.0000
0.5000 0.5000 0.5000
0.7500 0.7500 0.7500
0.2500 0.2500 0.2500
```

Properties
* formation enthalpy at 0 K: 94 meV per atom


No. 2
Density functional theory data (PBE) for a geometry-optimized Ga3ReAs structure.

Structure (POSCAR):
```
Ga3ReAs
1.0
4.8584 0.0000 0.0000
0.0000 4.8584 0.0000
0.0000 0.0000 4.8584
Ga Re As
3 1 1
direct
0.0000 0.0000 0.5000
0.0000 0.5000 0.0000
0.5000 0.0000 0.0000
0.5000 0.5000 0.5000
0.0000 0.0000 0.0000
```

Properties
* formation enthalpy at 0 K: 1337 meV per atom


Number 1: DOS(E_F) 0.839 states/eV/atom. Number 2: DOS(E_F) 0.677 states/eV/atom.